{
  "formula": "CaSb3Au8",
  "functional": "PBE",
  "state": "optimized geometry",
  "e_form_raw_ev_per_atom": -0.182,
  "vol_a3_per_fu": 255.4,
  "lattice": [[5.395, 0.001, 1.632], [2.452, 4.825, 1.634], [-0.006, -0.004, 9.811]],
  "species": ["Au", "Au", "Au", "Au", "Au", "Au", "Au", "Au", "Sb", "Sb", "Sb", "Ca"],
  "fractional_positions": [[0.626, 0.678, 0.939], [0.868, 0.998, 0.706], [0.451, 0.435, 0.221], [0.459, 0.865, 0.664], [0.143, 0.194, 0.438], [0.456, 0.951, 0.184], [0.024, 0.435, 0.689], [0.964, 0.462, 0.163], [0.368, 0.371, 0.884], [0.994, 0.007, 0.985], [0.512, 0.482, 0.506], [0.885, 0.870, 0.372]]
}